[1]
Cs2CaInRu: optimized geometry, PBE.

Output
The formation energy is 0.73 eV/atom.

Lattice parameters (Å, degrees): 5.866 5.866 5.732 90.00 90.00 90.00
Space group P4/mmm (No. 123)
Inequivalent atoms, fractional coordinates:
Cs  0.000  0.500  0.000 [2 per cell]
Ca  0.000  0.000  0.500 [1 per cell]
In  0.500  0.500  0.500 [1 per cell]
Ru  0.000  0.000  0.000 [1 per cell]

---

[2]
Rb2Cd2F: optimized geometry, PBE.

Output
For the formation energy (no corrections), the calculation gives -0.841 eV per atom.

Lattice parameters (Å, degrees): 7.518 7.518 7.006 90.00 90.00 90.00
Space group P4/mbm (No. 127)
Inequivalent atoms, fractional coordinates:
Rb  0.201  0.299  0.000 [4 per cell]
Cd  0.146  0.646  0.500 [4 per cell]
F  0.000  0.000  0.000 [2 per cell]

---

[3]
CeNp2Te2S2: optimized geometry, PBE.

Output
For the formation energy (no corrections), the calculation gives -0.907 eV per atom.

Lattice parameters (Å, degrees): 5.215 5.215 15.294 90.00 90.00 90.00
Space group I4/mmm (No. 139)
Inequivalent atoms, fractional coordinates:
Ce  0.000  0.000  0.000 [2 per cell]
Np  0.000  0.000  0.397 [4 per cell]
Te  0.000  0.000  0.195 [4 per cell]
S  0.000  0.500  0.000 [4 per cell]

---

[4]
BeGePt4: optimized geometry, PBE.

Output
The formation energy is -0.34 eV/atom.

Lattice parameters (Å, degrees): 7.314 5.491 4.559 90.00 95.04 90.00
Space group P2_1/c (No. 14)
Inequivalent atoms, fractional coordinates:
Be  0.000  0.000  0.000 [2 per cell]
Ge  0.500  0.000  0.500 [2 per cell]
Pt  0.164  0.118  0.479 [4 per cell]
Pt  0.310  0.605  0.497 [4 per cell]

---

[5]
BaZr3Os: optimized geometry, PBE.

Output
The formation energy is 0.28 eV/atom.

Lattice parameters (Å, degrees): 5.235 5.235 5.235 90.00 90.00 90.00
Space group Pm-3m (No. 221)
Inequivalent atoms, fractional coordinates:
Ba  0.000  0.000  0.000 [1 per cell]
Zr  0.000  0.500  0.500 [3 per cell]
Os  0.500  0.500  0.500 [1 per cell]

---

[6]
Cs2Rb3BaI6: optimized geometry, PBE.

Output
For the formation energy (no corrections), the calculation gives -1.441 eV per atom.

Lattice parameters (Å, degrees): 23.372 5.282 10.908 90.00 103.10 90.00
Space group C2/m (No. 12)
Inequivalent atoms, fractional coordinates:
Cs  0.166  0.000  0.336 [4 per cell]
Rb  0.000  0.500  0.500 [2 per cell]
Rb  0.168  0.000  0.834 [4 per cell]
Ba  0.000  0.500  0.000 [2 per cell]
I  0.004  0.000  0.774 [4 per cell]
I  0.157  0.500  0.070 [4 per cell]
I  0.164  0.500  0.594 [4 per cell]

---

[7]
In4TeSe: optimized geometry, PBE.

Output
For the formation energy (no corrections), the calculation gives 0.112 eV per atom.

Lattice parameters (Å, degrees): 8.843 8.843 8.843 90.00 90.00 90.00
Space group F-43m (No. 216)
Inequivalent atoms, fractional coordinates:
In  0.125  0.125  0.125 [16 per cell]
Te  0.000  0.000  0.500 [4 per cell]
Se  0.250  0.250  0.750 [4 per cell]

---

[8]
Rb2LaTlCl6: optimized geometry, PBE.

Output
For the formation energy (no corrections), the calculation gives -1.976 eV per atom.

Lattice parameters (Å, degrees): 7.854 8.312 13.589 90.00 124.07 90.00
Space group P2_1/c (No. 14)
Inequivalent atoms, fractional coordinates:
Rb  0.219  0.071  0.246 [4 per cell]
La  0.500  0.000  0.000 [2 per cell]
Tl  0.000  0.000  0.500 [2 per cell]
Cl  0.157  0.182  0.943 [4 per cell]
Cl  0.255  0.722  0.929 [4 per cell]
Cl  0.392  0.052  0.768 [4 per cell]

---

[9]
ThGeClO4: optimized geometry, PBE.

Output
For the formation energy (no corrections), the calculation gives -2.204 eV per atom.

Lattice parameters (Å, degrees): 10.939 7.070 7.002 90.00 104.78 90.00
Space group C2/m (No. 12)
Inequivalent atoms, fractional coordinates:
Th  0.234  0.000  0.354 [4 per cell]
Ge  0.141  0.000  0.772 [4 per cell]
Cl  0.013  0.500  0.322 [4 per cell]
O  0.024  0.000  0.271 [4 per cell]
O  0.199  0.185  0.644 [8 per cell]
O  0.206  0.000  0.027 [4 per cell]

---

[10]
RbPtBr: optimized geometry, PBE.

Output
For the formation energy (no corrections), the calculation gives -0.574 eV per atom.

Lattice parameters (Å, degrees): 5.197 6.687 6.698 99.37 104.69 105.13
Space group P1 (No. 1)
Inequivalent atoms, fractional coordinates:
Rb  0.000  0.000  0.000 [1 per cell]
Rb  0.007  0.447  0.557 [1 per cell]
Pt  0.105  0.533  0.088 [1 per cell]
Pt  0.569  0.437  0.993 [1 per cell]
Br  0.440  0.133  0.688 [1 per cell]
Br  0.617  0.726  0.284 [1 per cell]

---

[11]
CdOs: optimized geometry, PBE.

Output
The formation energy is 0.68 eV/atom.

Lattice parameters (Å, degrees): 2.8272 2.8272 4.8360 90.00 90.00 120.00
Space group P-6m2 (No. 187)
Inequivalent atoms, fractional coordinates:
Cd  0.0000  0.0000  0.0000 [1 per cell]
Os  0.3333  0.6667  0.5000 [1 per cell]

---

[12]
SrMg2Tc: optimized geometry, PBE.

Output
The formation energy is 0.56 eV/atom.

Lattice parameters (Å, degrees): 4.594 4.594 8.762 90.00 90.00 90.00
Space group I-4m2 (No. 119)
Inequivalent atoms, fractional coordinates:
Sr  0.000  0.000  0.000 [2 per cell]
Mg  0.000  0.000  0.500 [2 per cell]
Mg  0.000  0.500  0.250 [2 per cell]
Tc  0.000  0.500  0.750 [2 per cell]

---

[13]
PRu: optimized geometry, PBE.

Output
The formation energy is 0.47 eV/atom.

Lattice parameters (Å, degrees): 6.043 6.043 6.043 90.00 90.00 90.00
Space group Fd-3m (No. 227, origin choice 2)
Inequivalent atoms, fractional coordinates:
P  0.125  0.125  0.125 [8 per cell]
Ru  0.125  0.125  0.625 [8 per cell]

---

[14]
ZrZnGe2: optimized geometry, PBE.

Output
The formation energy is -0.44 eV/atom.

Lattice parameters (Å, degrees): 3.877 3.877 9.310 90.00 90.00 90.00
Space group P4/nmm (No. 129, origin choice 2)
Inequivalent atoms, fractional coordinates:
Zr  0.250  0.250  0.233 [2 per cell]
Zn  0.250  0.750  0.500 [2 per cell]
Ge  0.250  0.250  0.699 [2 per cell]
Ge  0.250  0.750  0.000 [2 per cell]

---

[15]
Ac4Pr3Ag: optimized geometry, PBE.

Output
The formation energy is -0.04 eV/atom.

Lattice parameters (Å, degrees): 3.911 3.911 20.062 90.00 90.00 90.00
Space group P4/mmm (No. 123)
Inequivalent atoms, fractional coordinates:
Ac  0.000  0.000  0.101 [2 per cell]
Ac  0.000  0.000  0.367 [2 per cell]
Pr  0.500  0.500  0.237 [2 per cell]
Pr  0.500  0.500  0.500 [1 per cell]
Ag  0.500  0.500  0.000 [1 per cell]

---

[16]
PIrCl2: optimized geometry, PBE.

Output
For the formation energy (no corrections), the calculation gives 0.672 eV per atom.

Lattice parameters (Å, degrees): 2.863 5.610 11.065 90.00 90.00 90.00
Space group Cmmm (No. 65)
Inequivalent atoms, fractional coordinates:
P  0.000  0.000  0.000 [2 per cell]
Ir  0.000  0.000  0.500 [2 per cell]
Cl  0.000  0.500  0.331 [4 per cell]

---

[17]
DyInO3: optimized geometry, PBE.

Output
For the formation energy (no corrections), the calculation gives -2.487 eV per atom.

Lattice parameters (Å, degrees): 5.596 3.670 8.350 90.00 106.64 90.00
Space group P2_1/m (No. 11)
Inequivalent atoms, fractional coordinates:
Dy  0.215  0.250  0.408 [2 per cell]
In  0.424  0.250  0.835 [2 per cell]
O  0.076  0.250  0.646 [2 per cell]
O  0.380  0.250  0.088 [2 per cell]
O  0.432  0.750  0.377 [2 per cell]

---

[18]
BeAsAu3: optimized geometry, PBE.

Output
The formation energy is 0.83 eV/atom.

Lattice parameters (Å, degrees): 4.930 4.930 4.930 90.00 90.00 90.00
Space group Pm-3m (No. 221)
Inequivalent atoms, fractional coordinates:
Be  0.000  0.000  0.000 [1 per cell]
As  0.500  0.500  0.500 [1 per cell]
Au  0.000  0.500  0.500 [3 per cell]

---

[19]
Na2LiCrNi: optimized geometry, PBE.

Output
The formation energy is 1.12 eV/atom.

Lattice parameters (Å, degrees): 4.717 4.717 4.900 90.00 90.00 90.00
Space group P4/mmm (No. 123)
Inequivalent atoms, fractional coordinates:
Na  0.000  0.500  0.000 [2 per cell]
Li  0.000  0.000  0.000 [1 per cell]
Cr  0.000  0.000  0.500 [1 per cell]
Ni  0.500  0.500  0.500 [1 per cell]

---

Going through the records in order, we get DFT total energy values of -2.413 -1.968 -7.529 -5.758 -7.482 -2.760 -2.818 -4.007 -7.021 -3.468 -5.394 -3.248 -6.873 -5.205 -4.246 -3.819 -6.930 -2.812 -2.867 eV/atom.